Entry 1:
Material: SmIn4
Method: DFT, PBE
State: relaxed

Output
* relative energy among the computed polymorphs: 0 meV per atom
* ΔH_f (0 K): -0.111 eV/atom
* crystal system: tetragonal

Geometry as CIF:
```
data_SmIn4
_cell_length_a 4.504
_cell_length_b 4.504
_cell_length_c 13.775
_cell_angle_alpha 90.00
_cell_angle_beta 90.00
_cell_angle_gamma 90.00
_space_group_name_H-M_alt 'I 4/m m m'
_space_group_IT_number 139
_space_group_name_Hall '-I 4 2'
loop_
_atom_site_label
_atom_site_type_symbol
_atom_site_fract_x
_atom_site_fract_y
_atom_site_fract_z
_atom_site_occupancy
Sm1 Sm 0.000 0.000 0.000 1
In1 In 0.000 0.000 0.398 1
In2 In 0.000 0.500 0.250 1
```

Entry 2:
Material: Sm5In6
Method: DFT, PBE
State: relaxed

Output
* ΔH_f (0 K): -0.390 eV/atom
* crystal system: orthorhombic

Geometry as CIF:
```
data_Sm5In6
_cell_length_a 5.347
_cell_length_b 7.506
_cell_length_c 15.952
_cell_angle_alpha 90.00
_cell_angle_beta 90.00
_cell_angle_gamma 90.00
_space_group_name_H-M_alt 'I m m m'
_space_group_IT_number 71
_space_group_name_Hall '-I 2 2'
loop_
_atom_site_label
_atom_site_type_symbol
_atom_site_fract_x
_atom_site_fract_y
_atom_site_fract_z
_atom_site_occupancy
Sm1 Sm 0.000 0.000 0.000 1
Sm2 Sm 0.000 0.000 0.318 1
Sm3 Sm 0.000 0.500 0.342 1
In1 In 0.000 0.206 0.500 1
In2 In 0.000 0.276 0.153 1
```

Entry 3:
Material: Sm3In5
Method: DFT, PBE
State: relaxed

Output
* relative energy among the computed polymorphs: 0 meV per atom
* ΔH_f (0 K): -0.505 eV/atom
* crystal system: orthorhombic

Geometry as CIF:
```
data_Sm3In5
_cell_length_a 10.075
_cell_length_b 8.221
_cell_length_c 10.512
_cell_angle_alpha 90.00
_cell_angle_beta 90.00
_cell_angle_gamma 90.00
_space_group_name_H-M_alt 'C m c m'
_space_group_IT_number 63
_space_group_name_Hall '-C 2c 2'
loop_
_atom_site_label
_atom_site_type_symbol
_atom_site_fract_x
_atom_site_fract_y
_atom_site_fract_z
_atom_site_occupancy
Sm1 Sm 0.000 0.125 0.250 1
Sm2 Sm 0.203 0.500 0.000 1
In1 In 0.000 0.192 0.546 1
In2 In 0.000 0.491 0.750 1
In3 In 0.215 0.209 0.750 1
```